1.
Below is crystalline KAg2I4 at its relaxed geometry, with properties calculated at the PBE-GGA level.

Energy above the most stable polymorph in this dataset = 0.5 kJ per mole of atoms

abc: 16.7981 16.8247 8.2111
angles: 90.00 90.00 90.00
Space group Fdd2 (No. 43)
Unique sites:
K: 0.0000 0.0000 0.0000
Ag: 0.0857 0.3352 0.8744
I: 0.0787 0.1297 0.3443
I: 0.1206 0.1712 0.9043

***

2.
Below is crystalline TbTlSnBr6 at its relaxed geometry, with properties calculated at the PBE-GGA level.

Calculated total energy = -3.638 eV per atom

abc: 7.5790 7.5790 7.1794
angles: 90.00 90.00 120.00
Space group P312 (No. 149)
Unique sites:
Tb: 0.0000 0.0000 0.0000
Tl: 0.6667 0.3333 0.5000
Sn: 0.3333 0.6667 0.0000
Br: 0.0232 0.3161 0.7724

***

3.
Below is crystalline Er2H7Rh2 at its relaxed geometry, with properties calculated at the PBE-GGA level.

Calculated total energy = -4.730 eV per atom

abc: 8.4487 7.6996 3.5478
angles: 90.00 114.57 90.00
Space group C2/m (No. 12)
Unique sites:
Er: 0.0000 0.2288 0.0000
H: 0.0000 0.0000 0.5000
H: 0.1730 0.5000 0.1717
H: 0.1793 0.2827 0.6784
Rh: 0.1824 0.5000 0.6812

***

4.
Below is crystalline SmTm3Rh8 at its relaxed geometry, with properties calculated at the PBE-GGA level.

ΔE_f = -8.68 eV/f.u.

abc: 5.3236 5.3236 8.7066
angles: 90.00 90.00 120.00
Space group P3m1 (No. 156)
Unique sites:
Sm: 0.0000 0.0000 0.0000
Tm: 0.0000 0.0000 0.3680
Tm: 0.6667 0.3333 0.4980
Tm: 0.6667 0.3333 0.8640
Rh: 0.1643 0.3286 0.6804
Rh: 0.3333 0.6667 0.4325
Rh: 0.3333 0.6667 0.9319
Rh: 0.5025 0.0050 0.1855

***

5.
Below is crystalline NaNbO2 at its relaxed geometry, with properties calculated at the PBE-GGA level.

Calculated total energy = -6.991 eV per atom

abc: 4.9231 4.9231 10.9426
angles: 90.00 90.00 90.00
Space group I-42d (No. 122)
Unique sites:
Na: 0.0000 0.0000 0.0000
Nb: 0.0000 0.0000 0.5000
O: 0.1564 0.2500 0.6250

***

6.
Below is crystalline MnReSe at its relaxed geometry, with properties calculated at the PBE-GGA level.

Energy above the most stable polymorph in this dataset = 2.8 kJ per mole of atoms

abc: 2.9289 2.9289 5.9650
angles: 90.00 90.00 120.00
Space group P3m1 (No. 156)
Unique sites:
Mn: 0.0000 0.0000 0.0000
Re: 0.6667 0.3333 0.3167
Se: 0.3333 0.6667 0.6806

***

no.,theoretical density (g/cm3)
1,4.36
2,4.47
3,8.66
4,11.50
5,3.70
6,12.00